No. 1
The following is a meta-GGA SCAN calculation of a crystal of CoRePb2 relaxed with PBEsol, from Alexandria via LeMat-Bulk.

Properties
calculated formation energy: 0.997 eV/atom
theoretical density: 15.243 g/cm3
E_tot: -58.994 eV/atom

Cell lengths 3.171, 3.171, 8.450 Å; angles 79.18, 79.18, 60.00 degrees
Each line ends with the local moment (μB).
Element x y z (fractional)
Co  0.000  0.000  0.000  1.70
Pb  0.255  0.255  0.234  0.01
Pb  0.745  0.745  0.766  0.01
Re  0.500  0.500  0.500  -0.22


No. 2
The following is a meta-GGA SCAN calculation of a crystal of TlPbSe2 relaxed with PBEsol, from Alexandria via LeMat-Bulk.

Properties
formation energy without anion corrections: -209 meV per atom
theoretical density: 9.352 g/cm3
E_tot: -47.283 eV/atom

Cell lengths 3.729, 3.721, 7.307 Å; angles 94.16, 90.00, 90.00 degrees
Element x y z (fractional)
Pb  0.500  0.500  0.000
Se  0.000  0.937  0.760
Se  0.000  0.063  0.240
Tl  0.500  0.500  0.500


No. 3
The following is a meta-GGA SCAN calculation of a crystal of HfTe3O relaxed with PBEsol, from Alexandria via LeMat-Bulk.

Properties
formation energy without anion corrections: 388 meV per atom
theoretical density: 5.958 g/cm3
E_tot: -35.743 eV/atom

Cell lengths 5.439, 5.439, 5.439 Å; angles 90.00, 90.00, 90.00 degrees
Each line ends with the local moment (μB).
Element x y z (fractional)
Te  0.000  0.500  0.000  0.34
Te  0.000  0.000  0.500  0.34
Te  0.500  0.000  0.000  0.34
Hf  0.000  0.000  0.000  -0.12
O  0.500  0.500  0.500  1.35


No. 4
The following is a meta-GGA SCAN calculation of a crystal of HfAsBr2Cl relaxed with PBEsol, from Alexandria via LeMat-Bulk.

Properties
formation energy without anion corrections: -515 meV per atom
theoretical density: 5.483 g/cm3
E_tot: -26.467 eV/atom

Cell lengths 5.063, 5.063, 5.300 Å; angles 90.00, 90.00, 90.00 degrees
Each line ends with the local moment (μB).
Element x y z (fractional)
As  0.000  0.000  0.500  0.40
Hf  0.000  0.000  0.000  0.00
Br  0.000  0.500  0.000  0.04
Br  0.500  0.000  0.000  0.04
Cl  0.500  0.500  0.500  0.04


No. 5
The following is a meta-GGA SCAN calculation of a crystal of Bi4B6O15 relaxed with PBEsol, from Alexandria via LeMat-Bulk.

Properties
formation energy without anion corrections: -2089 meV per atom
theoretical density: 7.409 g/cm3
E_tot: -20.184 eV/atom

Cell lengths 4.507, 6.341, 19.318 Å; angles 97.26, 90.00, 110.82 degrees
Element x y z (fractional)
Bi  0.348  0.288  0.302
Bi  0.324  0.261  0.095
Bi  0.940  0.288  0.802
Bi  0.937  0.261  0.595
Bi  0.063  0.739  0.405
Bi  0.060  0.712  0.198
Bi  0.676  0.739  0.905
Bi  0.652  0.712  0.698
B  0.803  0.196  0.412
B  0.794  0.132  0.196
B  0.373  0.339  0.473
B  0.393  0.196  0.912
B  0.338  0.132  0.696
B  0.966  0.339  0.973
B  0.034  0.661  0.027
B  0.662  0.868  0.304
B  0.607  0.804  0.088
B  0.627  0.661  0.527
B  0.206  0.868  0.804
B  0.197  0.804  0.588
O  0.827  0.026  0.125
O  0.480  0.170  0.435
O  0.483  0.147  0.199
O  0.028  0.258  0.472
O  0.199  0.026  0.625
O  0.689  0.170  0.935
O  0.897  0.361  0.361
O  0.664  0.147  0.699
O  0.230  0.258  0.972
O  0.061  0.353  0.207
O  0.935  0.422  0.049
O  0.513  0.578  0.451
O  0.465  0.361  0.861
O  0.292  0.353  0.707
O  0.708  0.647  0.293
O  0.535  0.639  0.139
O  0.487  0.422  0.549
O  0.065  0.578  0.951
O  0.939  0.647  0.793
O  0.770  0.742  0.028
O  0.336  0.853  0.301
O  0.103  0.639  0.639
O  0.311  0.830  0.065
O  0.801  0.974  0.375
O  0.855  0.000  0.250
O  0.972  0.742  0.528
O  0.517  0.853  0.801
O  0.520  0.830  0.565
O  0.173  0.974  0.875
O  0.145  0.000  0.750


No. 6
The following is a meta-GGA SCAN calculation of a crystal of Ce2ZrO6 relaxed with PBEsol, from Alexandria via LeMat-Bulk.

Properties
formation energy without anion corrections: -3725 meV per atom
theoretical density: 7.001 g/cm3
E_tot: -21.193 eV/atom

Cell lengths 3.732, 3.732, 8.387 Å; angles 102.86, 102.86, 90.00 degrees
Element x y z (fractional)
Ce  0.664  0.664  0.328
Ce  0.336  0.336  0.672
Zr  0.000  0.000  0.000
O  0.578  0.078  0.156
O  0.250  0.750  0.500
O  0.922  0.422  0.844
O  0.078  0.578  0.156
O  0.750  0.250  0.500
O  0.422  0.922  0.844


No. 7
The following is a meta-GGA SCAN calculation of a crystal of Si2AgOs relaxed with PBEsol, from Alexandria via LeMat-Bulk.

Properties
formation energy without anion corrections: 120 meV per atom
theoretical density: 9.407 g/cm3
E_tot: -30.700 eV/atom

Cell lengths 2.797, 3.674, 6.509 Å; angles 106.39, 102.41, 90.00 degrees
Element x y z (fractional)
Ag  0.555  0.555  0.110
Os  0.281  0.781  0.563
Si  0.944  0.944  0.888
Si  0.720  0.220  0.439


No. 8
The following is a meta-GGA SCAN calculation of a crystal of ZrSc2Cd relaxed with PBEsol, from Alexandria via LeMat-Bulk.

Properties
calculated formation energy: -0.129 eV/atom
theoretical density: 5.677 g/cm3
E_tot: -22.526 eV/atom

Cell lengths 4.322, 4.322, 5.520 Å; angles 113.04, 113.04, 90.00 degrees
Each line ends with the local moment (μB).
Element x y z (fractional)
Cd  0.250  0.750  0.500  0.01
Sc  0.000  0.000  0.000  0.33
Sc  0.750  0.250  0.500  0.17
Zr  0.500  0.500  0.000  0.62


No. 9
The following is a meta-GGA SCAN calculation of a crystal of MoN2Cl relaxed with PBEsol, from Alexandria via LeMat-Bulk.

Properties
formation energy without anion corrections: 98 meV per atom
theoretical density: 3.537 g/cm3
E_tot: -15.264 eV/atom

Cell lengths 5.960, 5.960, 5.960 Å; angles 60.00, 60.00, 60.00 degrees
Each line ends with the local moment (μB).
Element x y z (fractional)
Mo  0.000  0.000  0.000  -0.18
Mo  0.250  0.250  0.250  -0.18
N  0.625  0.125  0.125  0.20
N  0.125  0.625  0.125  0.20
N  0.125  0.125  0.125  0.20
N  0.125  0.125  0.625  0.20
Cl  0.500  0.500  0.500  0.50
Cl  0.750  0.750  0.750  0.50


No. 10
The following is a meta-GGA SCAN calculation of a crystal of Li2HgPt relaxed with PBEsol, from Alexandria via LeMat-Bulk.

Properties
calculated formation energy: -0.502 eV/atom
theoretical density: 11.972 g/cm3
E_tot: -36.286 eV/atom

Cell lengths 3.097, 4.283, 4.283 Å; angles 90.00, 90.00, 90.00 degrees
Element x y z (fractional)
Hg  0.500  0.500  0.125
Pt  0.500  0.000  0.625
Li  0.000  0.000  0.125
Li  0.000  0.500  0.625


No. 11
The following is a meta-GGA SCAN calculation of a crystal of Cd2Au3 relaxed with PBEsol, from Alexandria via LeMat-Bulk.

Properties
calculated formation energy: -0.202 eV/atom
theoretical density: 15.199 g/cm3
E_tot: -53.862 eV/atom

Cell lengths 4.121, 5.010, 5.166 Å; angles 79.05, 66.50, 65.72 degrees
Element x y z (fractional)
Au  0.201  0.703  0.894
Au  0.000  0.500  0.500
Au  0.799  0.297  0.106
Cd  0.593  0.110  0.705
Cd  0.407  0.890  0.295


No. 12
The following is a meta-GGA SCAN calculation of a crystal of ZrTa2Pt relaxed with PBEsol, from Alexandria via LeMat-Bulk.

Properties
calculated formation energy: -0.316 eV/atom
theoretical density: 15.353 g/cm3
E_tot: -58.830 eV/atom

Cell lengths 2.833, 4.756, 5.285 Å; angles 90.00, 100.06, 90.00 degrees
Element x y z (fractional)
Pt  0.000  0.500  0.500
Ta  0.761  0.000  0.752
Ta  0.239  0.000  0.248
Zr  0.500  0.500  0.000